Record 1
SrCuCl | PBE-GGA | optimized geometry

```
SrCuCl
1.0
-1.853 1.853 6.224
1.853 -1.853 6.224
1.853 1.853 -6.224
Sr Cu Cl
1 1 1
direct
0.000 0.000 0.000
0.651 0.651 0.000
0.378 0.378 0.000
```

Summary:
The value obtained for the energy above the lowest structure with this stoichiometry is 0.0277 eV per atom. Its formation energy without anion corrections is -17.78 kcal/mol of atoms.

Record 2
SrCuCl2 | PBE-GGA | optimized geometry

```
SrCuCl2
1.0
2.236 1.291 6.890
-2.236 1.291 6.890
0.000 -2.582 6.890
Sr Cu Cl
1 1 2
direct
0.000 0.000 0.000
0.500 0.500 0.500
0.266 0.266 0.266
0.734 0.734 0.734
```

Summary:
The calculation puts the density of states at the Fermi level at 1.77 states/eV per cell. The value obtained for the energy above the lowest structure with this stoichiometry is 0.0534 eV per atom. Its formation energy without anion corrections is -23.62 kcal/mol of atoms.

Record 3
SrCu4Cl | PBE-GGA | optimized geometry

```
SrCu4Cl
1.0
0.000 3.745 3.745
3.745 0.000 3.745
3.745 3.745 0.000
Sr Cu Cl
1 4 1
direct
0.000 0.000 0.000
0.376 0.376 0.376
0.376 0.376 0.872
0.376 0.872 0.376
0.872 0.376 0.376
0.750 0.750 0.750
```

Summary:
The calculation puts the density of states at the Fermi level at 2.05 states/eV per cell. Its formation energy without anion corrections is -2.01 kcal/mol of atoms.

Record 4
SrCu2Cl | PBE-GGA | optimized geometry

```
SrCu2Cl
1.0
-4.310 4.310 2.680
4.310 -4.310 2.680
4.310 4.310 -2.680
Sr Cu Cl
2 4 2
direct
0.000 0.000 0.000
0.750 0.250 0.500
0.147 0.625 0.022
0.375 0.397 0.522
0.603 0.125 0.978
0.875 0.853 0.478
0.250 0.750 0.500
0.500 0.500 0.000
```

Summary:
The calculation puts the density of states at the Fermi level at 2.85 states/eV per cell. The value obtained for the energy above the lowest structure with this stoichiometry is 0.3323 eV per atom. Its formation energy without anion corrections is -5.91 kcal/mol of atoms.

Record 5
SrCuCl | PBE-GGA | optimized geometry

```
SrCuCl
1.0
0.000 3.522 3.522
3.522 0.000 3.522
3.522 3.522 0.000
Sr Cu Cl
1 1 1
direct
0.000 0.000 0.000
0.500 0.500 0.500
0.750 0.750 0.750
```

Summary:
The value obtained for the energy above the lowest structure with this stoichiometry is 0.1951 eV per atom. Its formation energy without anion corrections is -13.92 kcal/mol of atoms.

Record 6
SrCu2Cl | PBE-GGA | optimized geometry

```
SrCu2Cl
1.0
-2.492 2.492 3.517
2.492 -2.492 3.517
2.492 2.492 -3.517
Sr Cu Cl
1 2 1
direct
0.000 0.000 0.000
0.500 0.500 0.000
0.750 0.250 0.500
0.250 0.750 0.500
```

Summary:
The calculation puts the density of states at the Fermi level at 3.85 states/eV per cell. The value obtained for the energy above the lowest structure with this stoichiometry is 0.3574 eV per atom. Its formation energy without anion corrections is -5.33 kcal/mol of atoms.

Record 7
SrCu2Cl | PBE-GGA | optimized geometry

```
SrCu2Cl
1.0
6.098 -1.883 0.000
6.098 1.883 0.000
-1.365 0.000 3.898
Sr Cu Cl
1 2 1
direct
0.000 0.000 0.000
0.251 0.251 0.757
0.749 0.749 0.243
0.500 0.500 0.500
```

Summary:
The calculation puts the density of states at the Fermi level at 1.07 states/eV per cell. The value obtained for the energy above the lowest structure with this stoichiometry is 0.1854 eV per atom. Its formation energy without anion corrections is -9.30 kcal/mol of atoms.

Record 8
SrCu2Cl | PBE-GGA | optimized geometry

```
SrCu2Cl
1.0
3.668 -2.114 0.000
3.668 2.114 0.000
-0.049 0.000 6.528
Sr Cu Cl
1 2 1
direct
0.000 0.000 0.000
0.336 0.336 0.332
0.669 0.669 0.306
0.331 0.331 0.748
```

Summary:
The calculation puts the density of states at the Fermi level at 0.91 states/eV per cell. The value obtained for the energy above the lowest structure with this stoichiometry is 0.0023 eV per atom. Its formation energy without anion corrections is -13.52 kcal/mol of atoms.

Record 9
SrCu2Cl | PBE-GGA | optimized geometry

```
SrCu2Cl
1.0
3.099 -3.103 0.000
3.099 3.103 0.000
0.000 0.000 5.351
Sr Cu Cl
1 2 1
direct
0.000 0.000 0.000
0.500 0.500 0.242
0.500 0.500 0.758
0.000 0.000 0.500
```

Summary:
The calculation puts the density of states at the Fermi level at 1.43 states/eV per cell. The value obtained for the energy above the lowest structure with this stoichiometry is 0.3857 eV per atom. Its formation energy without anion corrections is -4.68 kcal/mol of atoms.

Record 10
Sr2CuCl | PBE-GGA | optimized geometry

```
Sr2CuCl
1.0
-2.259 3.343 4.232
2.259 -3.343 4.232
2.259 3.343 -4.232
Sr Cu Cl
2 1 1
direct
0.239 0.239 0.000
0.761 0.761 0.000
0.500 0.000 0.500
0.000 0.500 0.500
```

Summary:
The calculation puts the density of states at the Fermi level at 1.85 states/eV per cell. The value obtained for the energy above the lowest structure with this stoichiometry is 0.2261 eV per atom. Its formation energy without anion corrections is -14.76 kcal/mol of atoms.

Record 11
Sr2CuCl | PBE-GGA | optimized geometry

```
Sr2CuCl
1.0
-2.165 2.165 7.012
2.165 -2.165 7.012
2.165 2.165 -7.012
Sr Cu Cl
2 1 1
direct
0.000 0.000 0.000
0.750 0.250 0.500
0.500 0.500 0.000
0.250 0.750 0.500
```

Summary:
The calculation puts the density of states at the Fermi level at 2.94 states/eV per cell. The value obtained for the energy above the lowest structure with this stoichiometry is 0.2493 eV per atom. Its formation energy without anion corrections is -14.23 kcal/mol of atoms.

Record 12
SrCu2Cl | PBE-GGA | optimized geometry

```
SrCu2Cl
1.0
0.000 3.572 3.572
3.572 0.000 3.572
3.572 3.572 0.000
Sr Cu Cl
1 2 1
direct
0.000 0.000 0.000
0.250 0.250 0.250
0.750 0.750 0.750
0.500 0.500 0.500
```

Summary:
The calculation puts the density of states at the Fermi level at 8.01 states/eV per cell. The value obtained for the energy above the lowest structure with this stoichiometry is 0.7287 eV per atom. Its formation energy without anion corrections is 3.23 kcal/mol of atoms.

Record 13
SrCuCl3 | PBE-GGA | optimized geometry

```
SrCuCl3
1.0
4.873 0.000 0.000
0.000 4.873 0.000
0.000 0.000 4.873
Sr Cu Cl
1 1 3
direct
0.000 0.000 0.000
0.500 0.500 0.500
0.000 0.500 0.500
0.500 0.000 0.500
0.500 0.500 0.000
```

Summary:
The calculation puts the density of states at the Fermi level at 0.00 states/eV per cell. The value obtained for the energy above the lowest structure with this stoichiometry is 0.2411 eV per atom. Its formation energy without anion corrections is -32.15 kcal/mol of atoms.

Record 14
SrCu2Cl | PBE-GGA | optimized geometry

```
SrCu2Cl
1.0
4.226 0.000 0.000
-2.104 3.678 0.000
-1.970 -1.309 6.436
Sr Cu Cl
1 2 1
direct
0.000 0.000 0.000
0.119 0.550 0.668
0.466 0.223 0.689
0.832 0.425 0.254
```

Summary:
The calculation puts the density of states at the Fermi level at 0.59 states/eV per cell. The value obtained for the energy above the lowest structure with this stoichiometry is 0.0000 eV per atom. Its formation energy without anion corrections is -13.58 kcal/mol of atoms.

Record 15
SrCuCl3 | PBE-GGA | optimized geometry

```
SrCuCl3
1.0
5.602 0.000 0.000
0.000 5.602 0.000
0.000 0.000 5.602
Sr Cu Cl
1 1 3
direct
0.000 0.000 0.000
0.500 0.500 0.500
0.000 0.000 0.500
0.000 0.500 0.000
0.500 0.000 0.000
```

Summary:
The calculation puts the density of states at the Fermi level at 0.00 states/eV per cell. The value obtained for the energy above the lowest structure with this stoichiometry is 0.6421 eV per atom. Its formation energy without anion corrections is -22.91 kcal/mol of atoms.

Record 16
Sr2CuCl | PBE-GGA | optimized geometry

```
Sr2CuCl
1.0
-3.957 3.957 4.375
3.957 -3.957 4.375
3.957 3.957 -4.375
Sr Cu Cl
4 2 2
direct
0.123 0.625 0.998
0.375 0.373 0.498
0.627 0.125 0.002
0.875 0.877 0.502
0.250 0.750 0.500
0.500 0.500 0.000
0.000 0.000 0.000
0.750 0.250 0.500
```

Summary:
The calculation puts the density of states at the Fermi level at 3.93 states/eV per cell. The value obtained for the energy above the lowest structure with this stoichiometry is 0.1670 eV per atom. Its formation energy without anion corrections is -16.12 kcal/mol of atoms.

Record 17
SrCuCl3 | PBE-GGA | optimized geometry

```
SrCuCl3
1.0
6.761 0.000 0.000
0.000 7.611 0.000
-5.919 0.000 9.920
Sr Cu Cl
4 4 12
direct
0.181 0.124 0.231
0.181 0.376 0.731
0.819 0.624 0.269
0.819 0.876 0.769
0.163 0.620 0.082
0.163 0.880 0.582
0.837 0.120 0.418
0.837 0.380 0.918
0.104 0.182 0.940
0.104 0.318 0.440
0.247 0.666 0.918
0.247 0.834 0.418
0.412 0.038 0.760
0.412 0.462 0.260
0.588 0.538 0.740
0.588 0.962 0.240
0.753 0.166 0.582
0.753 0.334 0.082
0.896 0.682 0.560
0.896 0.818 0.060
```

Summary:
The calculation puts the density of states at the Fermi level at 0.00 states/eV per cell. The value obtained for the energy above the lowest structure with this stoichiometry is 0.0000 eV per atom. Its formation energy without anion corrections is -37.71 kcal/mol of atoms.

Record 18
Sr4Cu2Cl | PBE-GGA | optimized geometry

```
Sr4Cu2Cl
1.0
-2.953 2.953 7.347
2.953 -2.953 7.347
2.953 2.953 -7.347
Sr Cu Cl
4 2 1
direct
0.000 0.500 0.500
0.217 0.217 0.000
0.500 0.000 0.500
0.783 0.783 0.000
0.419 0.419 0.000
0.581 0.581 0.000
0.000 0.000 0.000
```

Summary:
The calculation puts the density of states at the Fermi level at 5.55 states/eV per cell. Its formation energy without anion corrections is -9.18 kcal/mol of atoms.

Record 19
SrCu5Cl12 | PBE-GGA | optimized geometry

```
SrCu5Cl12
1.0
5.835 0.000 0.000
2.289 6.363 0.000
0.187 2.076 12.549
Sr Cu Cl
1 5 12
direct
0.000 0.000 0.000
0.000 0.000 0.500
0.317 0.379 0.989
0.335 0.332 0.501
0.665 0.668 0.499
0.683 0.621 0.011
0.042 0.563 0.109
0.073 0.217 0.610
0.261 0.114 0.391
0.372 0.718 0.884
0.405 0.553 0.608
0.462 0.841 0.122
0.538 0.159 0.878
0.595 0.447 0.392
0.628 0.282 0.116
0.739 0.886 0.609
0.927 0.783 0.390
0.958 0.437 0.891
```

Summary:
The calculation puts the density of states at the Fermi level at 2.70 states/eV per cell. Its formation energy without anion corrections is -17.69 kcal/mol of atoms.

Record 20
Sr2CuCl | PBE-GGA | optimized geometry

```
Sr2CuCl
1.0
0.000 3.910 3.910
3.910 0.000 3.910
3.910 3.910 0.000
Sr Cu Cl
2 1 1
direct
0.250 0.250 0.250
0.750 0.750 0.750
0.000 0.000 0.000
0.500 0.500 0.500
```

Summary:
The calculation puts the density of states at the Fermi level at 2.50 states/eV per cell. The value obtained for the energy above the lowest structure with this stoichiometry is 0.2504 eV per atom. Its formation energy without anion corrections is -14.20 kcal/mol of atoms.

Record 21
SrCuCl2 | PBE-GGA | optimized geometry

```
SrCuCl2
1.0
3.564 0.000 0.000
0.000 3.564 0.000
0.000 0.000 10.464
Sr Cu Cl
1 1 2
direct
0.000 0.000 0.000
0.000 0.000 0.500
0.500 0.500 0.156
0.500 0.500 0.844
```

Summary:
The calculation puts the density of states at the Fermi level at 0.62 states/eV per cell. The value obtained for the energy above the lowest structure with this stoichiometry is 0.0764 eV per atom. Its formation energy without anion corrections is -23.09 kcal/mol of atoms.

Record 22
SrCuCl2 | PBE-GGA | optimized geometry

```
SrCuCl2
1.0
-2.079 2.079 5.362
2.079 -2.079 5.362
2.079 2.079 -5.362
Sr Cu Cl
1 1 2
direct
0.000 0.000 0.000
0.750 0.250 0.500
0.250 0.750 0.500
0.500 0.500 0.000
```

Summary:
The calculation puts the density of states at the Fermi level at 1.36 states/eV per cell. The value obtained for the energy above the lowest structure with this stoichiometry is 0.0680 eV per atom. Its formation energy without anion corrections is -23.28 kcal/mol of atoms.

Record 23
SrCu2Cl | PBE-GGA | optimized geometry

```
SrCu2Cl
1.0
3.568 0.000 0.000
0.000 3.568 0.000
0.000 0.000 7.542
Sr Cu Cl
1 2 1
direct
0.000 0.000 0.000
0.000 0.000 0.633
0.500 0.500 0.685
0.500 0.500 0.194
```

Summary:
The calculation puts the density of states at the Fermi level at 0.61 states/eV per cell. The value obtained for the energy above the lowest structure with this stoichiometry is 0.0861 eV per atom. Its formation energy without anion corrections is -11.59 kcal/mol of atoms.

Record 24
SrCu2Cl | PBE-GGA | optimized geometry

```
SrCu2Cl
1.0
2.252 1.300 5.251
-2.252 1.300 5.251
0.000 -2.600 5.251
Sr Cu Cl
1 2 1
direct
0.000 0.000 0.000
0.204 0.204 0.204
0.796 0.796 0.796
0.500 0.500 0.500
```

Summary:
The calculation puts the density of states at the Fermi level at 3.02 states/eV per cell. The value obtained for the energy above the lowest structure with this stoichiometry is 0.6342 eV per atom. Its formation energy without anion corrections is 1.05 kcal/mol of atoms.

Record 25
SrTaCu2Cl | PBE-GGA | optimized geometry

```
SrTaCu2Cl
1.0
4.975 0.000 0.000
0.000 4.975 0.000
0.000 0.000 4.778
Sr Ta Cu Cl
1 1 2 1
direct
0.000 0.000 0.000
0.500 0.500 0.500
0.000 0.500 0.500
0.500 0.000 0.500
0.500 0.500 0.000
```

Summary:
The calculation puts the density of states at the Fermi level at 5.13 states/eV per cell. Its formation energy without anion corrections is 4.60 kcal/mol of atoms.

Record 26
SrCuTeCl2 | PBE-GGA | optimized geometry

```
SrCuTeCl2
1.0
5.318 0.000 0.000
0.000 5.318 0.000
0.000 0.000 6.602
Sr Cu Te Cl
1 1 1 2
direct
0.000 0.000 0.000
0.500 0.500 0.000
0.000 0.000 0.500
0.000 0.500 0.500
0.500 0.000 0.500
```

Summary:
The calculation puts the density of states at the Fermi level at 1.78 states/eV per cell. Its formation energy without anion corrections is -3.37 kcal/mol of atoms.

Record 27
SrTlCu2Cl8 | PBE-GGA | optimized geometry

```
SrTlCu2Cl8
1.0
-3.246 3.246 7.198
3.246 -3.246 7.198
3.246 3.246 -7.198
Sr Tl Cu Cl
1 1 2 8
direct
0.000 0.000 0.000
0.750 0.250 0.500
0.250 0.750 0.500
0.500 0.500 0.000
0.015 0.962 0.607
0.038 0.645 0.053
0.162 0.268 0.575
0.355 0.407 0.393
0.413 0.838 0.106
0.593 0.985 0.947
0.693 0.587 0.425
0.732 0.307 0.894
```

Summary:
The calculation puts the density of states at the Fermi level at 4.85 states/eV per cell. Its formation energy without anion corrections is -22.65 kcal/mol of atoms.